Below is a geometry-optimized GdInTe2 structure, with properties calculated at the PBE level.

Results
The value obtained for the formation energy without anion corrections is -843 meV per atom. For the density of states at the Fermi level, the calculation gives 0.485 states/eV per atom. The value obtained for the total magnetization is 7.167 μB per cell. The space-group type is P4/mmm (123).

abc: 3.9006 3.9006 7.9274
angles: 90.00 90.00 90.00
Site moments in Bohr magnetons follow the coordinates.
Fractional coordinates of all 4 atoms:
Gd 0.5000 0.5000 0.0000  7.02
Te 0.0000 0.0000 0.7776  -0.02
Te 0.0000 0.0000 0.2224  -0.02
In 0.5000 0.5000 0.5000  0.01


Below is a geometry-optimized GdThIn structure, with properties calculated at the PBE level.

Results
The calculation puts the calculated formation energy at -50 kJ/mol of formula units. For the density of states at the Fermi level, the calculation gives 1.194 states/eV per atom. The value obtained for the total magnetization is 7.484 μB per cell. The space-group type is I4mm (107).

abc: 4.0405 4.0405 6.1219
angles: 109.27 109.27 90.00
Site moments in Bohr magnetons follow the coordinates.
Fractional coordinates of all 3 atoms:
Gd 0.2957 0.2957 0.5914  7.15
Th 0.6100 0.6100 0.2201  0.06
In 0.9443 0.9443 0.8885  -0.01


Below is a geometry-optimized GdThIn structure, with properties calculated at the PBE level.

Results
The calculation puts the calculated formation energy at -24 kJ/mol of formula units. For the density of states at the Fermi level, the calculation gives 1.295 states/eV per atom. The value obtained for the total magnetization is 7.944 μB per cell. The space-group type is P3m1 (156).

abc: 3.5102 5.4147 5.4147
angles: 120.00 90.00 90.00
Site moments in Bohr magnetons follow the coordinates.
Fractional coordinates of all 3 atoms:
Gd 0.4000 0.3333 0.6667  7.27
Th 0.9653 0.0000 0.0000  0.21
In 0.6347 0.6667 0.3333  -0.02


Below is a geometry-optimized GdThIn4 structure, with properties calculated at the PBE level.

Results
The calculation puts the calculated formation energy at -175 kJ/mol of formula units. For the density of states at the Fermi level, the calculation gives 0.696 states/eV per atom. The value obtained for the total magnetization is 7.420 μB per cell. The space-group type is F-43m (216).

abc: 6.0576 6.0576 6.0576
angles: 60.00 60.00 60.00
Site moments in Bohr magnetons follow the coordinates.
Fractional coordinates of all 6 atoms:
Gd 0.0000 0.0000 0.0000  -7.17
Th 0.2500 0.2500 0.2500  -0.07
In 0.6250 0.6250 0.1249  0.02
In 0.6250 0.1249 0.6250  0.02
In 0.6250 0.6250 0.6250  0.02
In 0.1249 0.6250 0.6250  0.02


Below is a geometry-optimized GdTmThIn structure, with properties calculated at the PBE level.

Results
The calculation puts the calculated formation energy at -10 kJ/mol of formula units. For the density of states at the Fermi level, the calculation gives 1.547 states/eV per atom. The value obtained for the total magnetization is 8.374 μB per cell. The space-group type is F-43m (216).

abc: 5.4678 5.4678 5.4678
angles: 60.00 60.00 60.00
Site moments in Bohr magnetons follow the coordinates.
Fractional coordinates of all 4 atoms:
Gd 0.0000 0.0000 0.0000  -7.22
Tm 0.5000 0.5000 0.5000  -0.20
Th 0.7500 0.7500 0.7500  -0.41
In 0.2500 0.2500 0.2500  0.02


Below is a geometry-optimized GdTiIn2 structure, with properties calculated at the PBE level.

Results
The calculation puts the calculated formation energy at -68 kJ/mol of formula units. For the density of states at the Fermi level, the calculation gives 1.412 states/eV per atom. The value obtained for the total magnetization is 5.601 μB per cell. The space-group type is Fm-3m (225).

abc: 5.1044 5.1044 5.1044
angles: 60.00 60.00 60.00
Site moments in Bohr magnetons follow the coordinates.
Fractional coordinates of all 4 atoms:
Gd 0.0000 0.0000 0.0000  6.93
Ti 0.5000 0.5000 0.5000  -1.10
In 0.2500 0.2500 0.2500  0.01
In 0.7500 0.7500 0.7500  0.01


Below is a geometry-optimized GdTiIn2 structure, with properties calculated at the PBE level.

Results
The calculation puts the calculated formation energy at -29 kJ/mol of formula units. For the density of states at the Fermi level, the calculation gives 0.853 states/eV per atom. The value obtained for the total magnetization is 6.688 μB per cell. The space-group type is R-3m (166).

abc: 3.3647 3.3647 10.1052
angles: 80.42 80.42 60.00
Site moments in Bohr magnetons follow the coordinates.
Fractional coordinates of all 4 atoms:
Gd 0.5000 0.5000 0.5000  7.35
Ti 0.0000 0.0000 0.0000  -0.77
In 0.7429 0.7429 0.7713  -0.01
In 0.2571 0.2571 0.2287  -0.01


Below is a geometry-optimized GdTiIn2 structure, with properties calculated at the PBE level.

Results
The calculation puts the calculated formation energy at -89 kJ/mol of formula units. For the density of states at the Fermi level, the calculation gives 0.651 states/eV per atom. The value obtained for the total magnetization is 8.764 μB per cell. The space-group type is P4/mmm (123).

abc: 4.5642 4.5221 4.5221
angles: 90.00 90.00 90.00
Site moments in Bohr magnetons follow the coordinates.
Fractional coordinates of all 4 atoms:
Gd 0.5000 0.0000 0.0000  7.23
Ti 0.5000 0.5000 0.5000  1.08
In 0.0000 0.0000 0.5000  -0.02
In 0.0000 0.5000 0.0000  -0.02


Below is a geometry-optimized GdTiIn2 structure, with properties calculated at the PBE level.

Results
The calculation puts the calculated formation energy at -101 kJ/mol of formula units. For the density of states at the Fermi level, the calculation gives 1.084 states/eV per atom. The value obtained for the total magnetization is 6.998 μB per cell. The space-group type is P4/mmm (123).

abc: 3.2332 3.2332 8.7300
angles: 90.00 90.00 90.00
Site moments in Bohr magnetons follow the coordinates.
Fractional coordinates of all 4 atoms:
Gd 0.5000 0.5000 0.5000  7.26
Ti 0.5000 0.5000 0.0000  -0.34
In 0.0000 0.0000 0.7753  -0.01
In 0.0000 0.0000 0.2247  -0.01


Below is a geometry-optimized GdTiIn structure, with properties calculated at the PBE level.

Results
The calculation puts the calculated formation energy at -23 kJ/mol of formula units. For the density of states at the Fermi level, the calculation gives 1.348 states/eV per atom. The value obtained for the total magnetization is 7.086 μB per cell. The space-group type is I4mm (107).

abc: 3.3571 3.3571 6.7439
angles: 104.41 104.41 90.00
Site moments in Bohr magnetons follow the coordinates.
Fractional coordinates of all 3 atoms:
Gd 0.6106 0.6106 0.2212  7.11
Ti 0.9406 0.9406 0.8812  -0.19
In 0.2988 0.2988 0.5976  0.00


Below is a geometry-optimized GdTiTlIn structure, with properties calculated at the PBE level.

Results
The calculation puts the calculated formation energy at -40 kJ/mol of formula units. For the density of states at the Fermi level, the calculation gives 1.078 states/eV per atom. The value obtained for the total magnetization is 8.768 μB per cell. The space-group type is F-43m (216).

abc: 5.1437 5.1437 5.1437
angles: 60.00 60.00 60.00
Site moments in Bohr magnetons follow the coordinates.
Fractional coordinates of all 4 atoms:
Tl 0.0000 0.0000 0.0000  -0.02
Gd 0.7500 0.7500 0.7500  7.09
Ti 0.2500 0.2500 0.2500  1.22
In 0.5000 0.5000 0.5000  -0.03


Below is a geometry-optimized GdYTiIn structure, with properties calculated at the PBE level.

Results
The calculation puts the calculated formation energy at -35 kJ/mol of formula units. For the density of states at the Fermi level, the calculation gives 1.207 states/eV per atom. The value obtained for the total magnetization is 4.483 μB per cell. The space-group type is F-43m (216).

abc: 5.2783 5.2783 5.2783
angles: 60.00 60.00 60.00
Site moments in Bohr magnetons follow the coordinates.
Fractional coordinates of all 4 atoms:
Y 0.5000 0.5000 0.5000  -0.23
Gd 0.0000 0.0000 0.0000  6.88
Ti 0.2500 0.2500 0.2500  -1.61
In 0.7500 0.7500 0.7500  0.03


Below is a geometry-optimized Gd2TlIn structure, with properties calculated at the PBE level.

Results
The calculation puts the calculated formation energy at -113 kJ/mol of formula units. For the density of states at the Fermi level, the calculation gives 0.934 states/eV per atom. The value obtained for the total magnetization is 14.327 μB per cell. The space-group type is R-3m (166).

abc: 3.7503 3.7503 10.0056
angles: 79.20 79.20 60.00
Site moments in Bohr magnetons follow the coordinates.
Fractional coordinates of all 4 atoms:
Tl 0.0000 0.0000 0.0000  -0.03
Gd 0.7506 0.7506 0.7481  7.06
Gd 0.2494 0.2494 0.2519  7.06
In 0.5000 0.5000 0.5000  -0.04


Below is a geometry-optimized Gd2TlIn structure, with properties calculated at the PBE level.

Results
The calculation puts the calculated formation energy at -170 kJ/mol of formula units. For the density of states at the Fermi level, the calculation gives 0.611 states/eV per atom. The value obtained for the total magnetization is 14.562 μB per cell. The space-group type is P4/mmm (123).

abc: 3.5832 3.5832 8.6067
angles: 90.00 90.00 90.00
Site moments in Bohr magnetons follow the coordinates.
Fractional coordinates of all 4 atoms:
Tl 0.5000 0.5000 0.5000  -0.02
Gd 0.0000 0.0000 0.7516  7.12
Gd 0.0000 0.0000 0.2484  7.12
In 0.5000 0.5000 0.0000  -0.04


Below is a geometry-optimized Gd2TlIn structure, with properties calculated at the PBE level.

Results
The calculation puts the calculated formation energy at -168 kJ/mol of formula units. For the density of states at the Fermi level, the calculation gives 0.825 states/eV per atom. The value obtained for the total magnetization is 14.688 μB per cell. The space-group type is P4/mmm (123).

abc: 4.4142 4.9939 4.9939
angles: 90.00 90.00 90.00
Site moments in Bohr magnetons follow the coordinates.
Fractional coordinates of all 4 atoms:
Tl 0.5000 0.0000 0.0000  -0.03
Gd 0.0000 0.0000 0.5000  7.16
Gd 0.0000 0.5000 0.0000  7.16
In 0.5000 0.5000 0.5000  -0.04


Below is a geometry-optimized GdTmTlIn structure, with properties calculated at the PBE level.

Results
The calculation puts the calculated formation energy at -152 kJ/mol of formula units. For the density of states at the Fermi level, the calculation gives 0.741 states/eV per atom. The value obtained for the total magnetization is 7.323 μB per cell. The space-group type is F-43m (216).

abc: 5.3398 5.3398 5.3398
angles: 60.00 60.00 60.00
Site moments in Bohr magnetons follow the coordinates.
Fractional coordinates of all 4 atoms:
Gd 0.2500 0.2500 0.2500  7.09
Tl 0.5000 0.5000 0.5000  -0.02
Tm 0.7500 0.7500 0.7500  0.09
In 0.0000 0.0000 0.0000  -0.03


Below is a geometry-optimized Gd2TmIn structure, with properties calculated at the PBE level.

Results
The calculation puts the calculated formation energy at -111 kJ/mol of formula units. For the density of states at the Fermi level, the calculation gives 0.852 states/eV per atom. The value obtained for the total magnetization is 15.498 μB per cell. The space-group type is P4/mmm (123).

abc: 4.8852 4.8272 4.8272
angles: 90.00 90.00 90.00
Site moments in Bohr magnetons follow the coordinates.
Fractional coordinates of all 4 atoms:
Gd 0.0000 0.0000 0.5000  7.32
Gd 0.0000 0.5000 0.0000  7.32
Tm 0.5000 0.5000 0.5000  0.31
In 0.5000 0.0000 0.0000  -0.06


Below is a geometry-optimized GdTmIn4 structure, with properties calculated at the PBE level.

Results
The calculation puts the calculated formation energy at -181 kJ/mol of formula units. For the density of states at the Fermi level, the calculation gives 0.905 states/eV per atom. The value obtained for the total magnetization is 7.492 μB per cell. The space-group type is F-43m (216).

abc: 5.9901 5.9901 5.9901
angles: 60.00 60.00 60.00
Site moments in Bohr magnetons follow the coordinates.
Fractional coordinates of all 6 atoms:
Gd 0.0000 0.0000 0.0000  7.16
Tm 0.2500 0.2500 0.2500  0.09
In 0.6250 0.6250 0.1250  -0.01
In 0.6250 0.1250 0.6250  -0.01
In 0.6250 0.6250 0.6250  -0.01
In 0.1250 0.6250 0.6250  -0.01


Below is a geometry-optimized Gd2TmIn structure, with properties calculated at the PBE level.

Results
The calculation puts the calculated formation energy at -68 kJ/mol of formula units. For the density of states at the Fermi level, the calculation gives 1.119 states/eV per atom. The value obtained for the total magnetization is 15.574 μB per cell. The space-group type is Fm-3m (225).

abc: 5.4506 5.4506 5.4506
angles: 60.00 60.00 60.00
Site moments in Bohr magnetons follow the coordinates.
Fractional coordinates of all 4 atoms:
Gd 0.2500 0.2500 0.2500  7.28
Gd 0.7500 0.7500 0.7500  7.28
Tm 0.0000 0.0000 0.0000  0.33
In 0.5000 0.5000 0.5000  -0.02


Below is a geometry-optimized Gd2TmIn structure, with properties calculated at the PBE level.

Results
The calculation puts the calculated formation energy at -74 kJ/mol of formula units. For the density of states at the Fermi level, the calculation gives 1.194 states/eV per atom. The value obtained for the total magnetization is 15.166 μB per cell. The space-group type is P4/mmm (123).

abc: 4.1359 4.1359 6.8877
angles: 90.00 90.00 90.00
Site moments in Bohr magnetons follow the coordinates.
Fractional coordinates of all 4 atoms:
Gd 0.0000 0.0000 0.7604  7.20
Gd 0.0000 0.0000 0.2396  7.20
Tm 0.5000 0.5000 0.5000  0.23
In 0.5000 0.5000 0.0000  -0.01